Arrangement one

NaCd3Ag2 | PBE | optimized geometry

Lattice parameters (Å, degrees): 6.2780 6.2780 8.1843 67.45 67.45 60.00
Closest atoms and distances in Å follow each position.
Atoms (fractional coordinates):
Na (0.7765, 0.7765, 0.6705)  3 Ag 3.02, 9 Cd 3.14
Ag (0.0000, 0.0000, 0.0000)  6 Cd 2.99, 6 Ag 3.14
Cd (0.2753, 0.7713, 0.6781)  3 Ag 2.97-2.99, 6 Cd 3.11-3.17, 3 Na 3.14
Ag (0.0000, 0.5000, 0.0000)  4 Cd 2.97, 2 Na 3.02, 6 Ag 3.14
Ag (0.5000, 0.0000, 0.0000)  4 Cd 2.97, 2 Na 3.02, 6 Ag 3.14
Ag (0.5000, 0.5000, 0.0000)  4 Cd 2.97, 2 Na 3.02, 6 Ag 3.14
Cd (0.2753, 0.2753, 0.6781)  3 Ag 2.97-2.99, 6 Cd 3.11-3.17, 3 Na 3.14
Na (0.2235, 0.2235, 0.3295)  3 Ag 3.02, 9 Cd 3.14
Cd (0.2287, 0.7247, 0.3219)  3 Ag 2.97-2.99, 6 Cd 3.11-3.17, 3 Na 3.14
Cd (0.7247, 0.7247, 0.3219)  3 Ag 2.97-2.99, 6 Cd 3.11-3.17, 3 Na 3.14
Cd (0.7713, 0.2753, 0.6781)  3 Ag 2.97-2.99, 6 Cd 3.11-3.17, 3 Na 3.14
Cd (0.7247, 0.2287, 0.3219)  3 Ag 2.97-2.99, 6 Cd 3.11-3.17, 3 Na 3.14

Arrangement two

NaCd3Ag2 | PBE | optimized geometry

Lattice parameters (Å, degrees): 5.8885 5.8885 9.3925 90.00 90.00 120.00
Closest atoms and distances in Å follow each position.
Atoms (fractional coordinates):
Na (0.0000, 0.0000, 0.5000)  6 Ag 3.40, 12 Cd 3.75-3.78
Cd (0.0000, 0.4970, 0.7500)  4 Ag 2.90, 4 Cd 2.94
Cd (0.5030, 0.5030, 0.7500)  4 Ag 2.90, 4 Cd 2.94
Cd (0.0000, 0.5030, 0.2500)  4 Ag 2.90, 4 Cd 2.94
Ag (0.6667, 0.3333, 0.5000)  6 Cd 2.90
Ag (0.6667, 0.3333, 0.0000)  6 Cd 2.90
Ag (0.3333, 0.6667, 0.5000)  6 Cd 2.90
Cd (0.4970, 0.4970, 0.2500)  4 Ag 2.90, 4 Cd 2.94
Ag (0.3333, 0.6667, 0.0000)  6 Cd 2.90
Cd (0.4970, 0.0000, 0.7500)  4 Ag 2.90, 4 Cd 2.94
Na (0.0000, 0.0000, 0.0000)  6 Ag 3.40, 12 Cd 3.75-3.78
Cd (0.5030, 0.0000, 0.2500)  4 Ag 2.90, 4 Cd 2.94

Which one is most stable, and which one is least stable? arrangement two is the most stable of them, while arrangement one is the least stable.

Arrangement one

NaCd2Ag3 | PBE | optimized geometry

Lattice parameters (Å, degrees): 5.7762 6.8266 6.8266 88.67 90.00 90.00
Closest atoms and distances in Å follow each position.
Atoms (fractional coordinates):
Na (0.2500, 0.2861, 0.2861)  7 Ag 3.05-3.36, 4 Cd 3.38
Cd (0.0000, 0.7334, 0.2666)  6 Ag 2.85-3.01, 2 Cd 2.89
Ag (0.2500, 0.9211, 0.5686)  1 Ag 2.80, 4 Cd 2.85-3.01, 1 Na 3.12
Ag (0.7500, 0.0264, 0.0264)  4 Ag 2.80-2.93, 4 Cd 2.94, 1 Na 3.05
Ag (0.2500, 0.9736, 0.9736)  4 Ag 2.80-2.93, 4 Cd 2.94, 1 Na 3.05
Ag (0.7500, 0.0789, 0.4314)  1 Ag 2.80, 4 Cd 2.85-3.01, 1 Na 3.12
Cd (0.0000, 0.2666, 0.7334)  6 Ag 2.85-3.01, 2 Cd 2.89
Cd (0.5000, 0.2666, 0.7334)  6 Ag 2.85-3.01, 2 Cd 2.89
Ag (0.2500, 0.5686, 0.9211)  1 Ag 2.80, 4 Cd 2.85-3.01, 1 Na 3.12
Na (0.7500, 0.7139, 0.7139)  7 Ag 3.05-3.36, 4 Cd 3.38
Cd (0.5000, 0.7334, 0.2666)  6 Ag 2.85-3.01, 2 Cd 2.89
Ag (0.7500, 0.4314, 0.0789)  1 Ag 2.80, 4 Cd 2.85-3.01, 1 Na 3.12

Arrangement two

NaCd2Ag3 | PBE | optimized geometry

Lattice parameters (Å, degrees): 5.7828 7.4321 7.4321 78.59 67.10 67.11
Closest atoms and distances in Å follow each position.
Atoms (fractional coordinates):
Ag (0.0000, 0.7495, 0.2505)  4 Ag 2.88-2.89, 4 Cd 2.88
Na (0.0014, 0.2500, 0.2500)  6 Cd 3.31-3.34
Cd (0.6662, 0.5827, 0.5827)  6 Ag 2.88
Ag (0.0000, 0.2505, 0.7495)  4 Ag 2.88-2.89, 4 Cd 2.88
Cd (0.3316, 0.9173, 0.9173)  6 Ag 2.88
Na (0.9986, 0.7500, 0.7500)  6 Cd 3.31-3.34
Ag (0.5000, 0.2495, 0.7505)  4 Ag 2.88-2.89, 4 Cd 2.88
Ag (0.5000, 0.5000, 0.0000)  4 Ag 2.88, 4 Cd 2.88
Ag (0.5000, 0.0000, 0.5000)  4 Ag 2.88, 4 Cd 2.88
Ag (0.5000, 0.7505, 0.2495)  4 Ag 2.88-2.89, 4 Cd 2.88
Cd (0.6684, 0.0827, 0.0827)  6 Ag 2.88
Cd (0.3338, 0.4173, 0.4173)  6 Ag 2.88

Which one is most stable, and which one is least stable? arrangement two is the most stable of them, while arrangement one is the least stable.

Arrangement one

NaCd6Ag5 | PBE | optimized geometry

Lattice parameters (Å, degrees): 4.4370 6.8010 8.3612 90.00 90.00 71.76
Closest atoms and distances in Å follow each position.
Atoms (fractional coordinates):
Ag (0.3334, 0.3325, 0.5000)  8 Cd 2.96-3.02, 4 Ag 3.07-3.12
Na (0.0000, 0.0000, 0.0000)  8 Cd 3.05-3.08, 4 Ag 3.10-3.14
Cd (0.1685, 0.6631, 0.2554)  7 Ag 2.96-3.08, 4 Cd 3.04-3.13, 1 Na 3.05
Ag (0.6666, 0.6675, 0.5000)  8 Cd 2.96-3.02, 4 Ag 3.07-3.12
Cd (0.1685, 0.6631, 0.7446)  7 Ag 2.96-3.08, 4 Cd 3.04-3.13, 1 Na 3.05
Cd (0.5000, 0.0000, 0.7446)  6 Ag 2.97-3.06, 2 Na 3.08, 4 Cd 3.09-3.13
Cd (0.8315, 0.3369, 0.7446)  7 Ag 2.96-3.08, 4 Cd 3.04-3.13, 1 Na 3.05
Ag (0.3304, 0.3397, 0.0000)  8 Cd 2.99-3.08, 2 Ag 3.01-3.06, 2 Na 3.10-3.14
Cd (0.8315, 0.3369, 0.2554)  7 Ag 2.96-3.08, 4 Cd 3.04-3.13, 1 Na 3.05
Ag (0.0000, 0.0000, 0.5000)  8 Cd 2.99-3.02, 4 Ag 3.07-3.11
Cd (0.5000, 0.0000, 0.2554)  6 Ag 2.97-3.06, 2 Na 3.08, 4 Cd 3.09-3.13
Ag (0.6696, 0.6603, 0.0000)  8 Cd 2.99-3.08, 2 Ag 3.01-3.06, 2 Na 3.10-3.14

Arrangement two

NaCd6Ag5 | PBE | optimized geometry

Lattice parameters (Å, degrees): 8.2547 5.3166 6.9131 67.39 82.13 69.15
Closest atoms and distances in Å follow each position.
Atoms (fractional coordinates):
Cd (0.8034, 0.6225, 0.0000)  5 Ag 2.80-2.96, 2 Na 3.00-3.12, 1 Cd 3.04
Ag (0.5000, 0.8884, 0.2232)  3 Ag 2.85-3.02, 6 Cd 2.96-2.98
Na (0.0000, 0.0000, 0.0000)  4 Cd 3.00-3.12
Cd (0.1966, 0.3775, 0.0000)  5 Ag 2.80-2.96, 2 Na 3.00-3.12, 1 Cd 3.04
Ag (0.5000, 0.5000, 0.0000)  6 Cd 2.80-2.89, 4 Ag 3.02
Cd (0.6992, 0.1395, 0.3806)  5 Ag 2.87-2.98, 4 Cd 3.06-3.16
Cd (0.3008, 0.8605, 0.6194)  5 Ag 2.87-2.98, 4 Cd 3.06-3.16
Cd (0.6992, 0.5202, 0.6194)  5 Ag 2.87-2.98, 4 Cd 3.06-3.16
Ag (0.0000, 0.6960, 0.6080)  6 Cd 2.87-2.93, 2 Ag 2.99
Cd (0.3008, 0.4798, 0.3806)  5 Ag 2.87-2.98, 4 Cd 3.06-3.16
Ag (0.0000, 0.3040, 0.3920)  6 Cd 2.87-2.93, 2 Ag 2.99
Ag (0.5000, 0.1116, 0.7768)  3 Ag 2.85-3.02, 6 Cd 2.96-2.98

Which one is most stable, and which one is least stable? arrangement one is the most stable of them, while arrangement two is the least stable.